Record 1
# PHIrAu

An optimized crystal structure of PHIrAu (PBE, Alexandria via LeMat-Bulk).

Geometry as POSCAR:
```
PHIrAu
1.0
2.957 0.000 0.000
1.457 4.000 0.000
0.011 0.213 5.129
P H Ir Au
1 1 1 1
direct
0.000 0.000 0.000
0.365 0.281 0.626
0.289 0.429 0.917
0.145 0.709 0.417
```

For the excess energy over the best structure of this formula in the dataset, the calculation gives 69 meV per atom. The magnetic moment comes out at 0.00 μB/cell. The space group is No. 1. Its total energy is -5.2645 eV/atom.

=====

Record 2
# PHIrAu

An optimized crystal structure of PHIrAu (PBE, Alexandria via LeMat-Bulk).

Geometry as POSCAR:
```
PHIrAu
1.0
3.179 -1.843 0.000
3.179 1.843 0.000
-2.089 0.000 5.179
P H Ir Au
1 1 1 1
direct
0.000 0.000 0.000
0.709 0.709 0.133
0.609 0.609 0.827
0.158 0.158 0.468
```

For the excess energy over the best structure of this formula in the dataset, the calculation gives 102 meV per atom. The magnetic moment comes out at 0.00 μB/cell. The space group is No. 8. Its total energy is -5.2313 eV/atom.

=====

Record 3
# PHIrAu

An optimized crystal structure of PHIrAu (PBE, Alexandria via LeMat-Bulk).

Geometry as POSCAR:
```
PHIrAu
1.0
4.032 -1.443 0.000
4.032 1.443 0.000
-1.419 0.000 5.397
P H Ir Au
1 1 1 1
direct
0.000 0.000 0.000
0.675 0.675 0.730
0.267 0.267 0.913
0.179 0.179 0.408
```

For the excess energy over the best structure of this formula in the dataset, the calculation gives 111 meV per atom. The magnetic moment comes out at 0.00 μB/cell. The space group is No. 8. Its total energy is -5.2221 eV/atom.

=====

Record 4
# PHIrAu

An optimized crystal structure of PHIrAu (PBE, Alexandria via LeMat-Bulk).

Geometry as POSCAR:
```
PHIrAu
1.0
3.355 0.000 0.000
-1.677 2.905 0.000
0.000 0.000 6.662
P H Ir Au
1 1 1 1
direct
0.000 0.000 0.000
0.000 0.000 0.775
0.667 0.333 0.166
0.000 0.000 0.479
```

For the excess energy over the best structure of this formula in the dataset, the calculation gives 54 meV per atom. The magnetic moment comes out at 0.00 μB/cell. The space group is No. 156. Its total energy is -5.2790 eV/atom.

=====

Record 5
# PHIrAu

An optimized crystal structure of PHIrAu (PBE, Alexandria via LeMat-Bulk).

Geometry as POSCAR:
```
PHIrAu
1.0
3.351 0.000 0.000
-1.676 2.902 0.000
0.000 0.000 5.943
P H Ir Au
1 1 1 1
direct
0.000 0.000 0.000
0.667 0.333 0.506
0.667 0.333 0.205
0.000 0.000 0.596
```

For the excess energy over the best structure of this formula in the dataset, the calculation gives 56 meV per atom. The magnetic moment comes out at 0.00 μB/cell. The space group is No. 156. Its total energy is -5.2775 eV/atom.

=====

Record 6
# PHIrAu

An optimized crystal structure of PHIrAu (PBE, Alexandria via LeMat-Bulk).

Geometry as POSCAR:
```
PHIrAu
1.0
3.176 -1.953 0.000
3.176 1.953 0.000
-1.631 0.000 4.697
P H Ir Au
1 1 1 1
direct
0.000 0.000 0.000
0.452 0.452 0.492
0.617 0.617 0.854
0.892 0.892 0.433
```

For the excess energy over the best structure of this formula in the dataset, the calculation gives 100 meV per atom. The magnetic moment comes out at 0.00 μB/cell. The space group is No. 8. Its total energy is -5.2335 eV/atom.

=====

Record 7
# H6IrPb2Au

An optimized crystal structure of H6IrPb2Au (PBE, Alexandria via LeMat-Bulk).

Geometry as POSCAR:
```
H6IrPb2Au
1.0
5.243 0.000 0.000
1.032 5.441 0.000
1.245 0.556 5.533
H Ir Pb Au
6 1 2 1
direct
0.000 0.000 0.000
0.002 0.598 0.031
0.357 0.734 0.135
0.708 0.845 0.222
0.917 0.581 0.467
0.943 0.002 0.422
0.029 0.787 0.231
0.325 0.238 0.044
0.382 0.816 0.582
0.195 0.344 0.562
```

The magnetic moment comes out at 0.00 μB/cell. The space group is No. 1. Its total energy is -3.9015 eV/atom.

=====

Record 8
# HIr2PbAu

An optimized crystal structure of HIr2PbAu (PBE, Alexandria via LeMat-Bulk).

Geometry as POSCAR:
```
HIr2PbAu
1.0
4.212 0.000 0.000
0.000 4.212 0.000
0.000 0.000 4.114
H Ir Pb Au
1 2 1 1
direct
0.000 0.000 0.000
0.000 0.500 0.000
0.500 0.000 0.000
0.500 0.500 0.500
0.000 0.000 0.500
```

The magnetic moment comes out at 0.00 μB/cell. The space group is No. 123. Its total energy is -5.1614 eV/atom.